a.
VASP calculation (PBE) on NdSmDyTh after structural relaxation.

Lattice parameters (Å, degrees): 3.6035 3.6035 10.2388 90.00 90.00 90.00
With the nearest neighbours (Å) after each atom.
Fractional coordinates of all 4 atoms:
Nd 0.0000 0.0000 0.0000  4 Nd 3.60, 4 Dy 3.66, 4 Sm 3.72
Sm 0.5000 0.5000 0.7355  4 Th 3.55, 4 Sm 3.60, 4 Nd 3.72
Dy 0.5000 0.5000 0.2568  4 Th 3.52, 4 Dy 3.60, 4 Nd 3.66
Th 0.0000 0.0000 0.4938  4 Dy 3.52, 4 Sm 3.55, 4 Th 3.60

Values from the calculation:
Magnetization: 0.0 μB per cell
Space group: No. 99

***

b.
VASP calculation (PBE) on NdSmDyTh after structural relaxation.

Lattice parameters (Å, degrees): 5.7295 5.7295 5.7295 60.00 60.00 60.00
With the nearest neighbours (Å) after each atom.
Fractional coordinates of all 4 atoms:
Nd 0.0000 0.0000 0.0000  4 Sm 3.51, 4 Dy 3.51
Sm 0.7500 0.7500 0.7500  4 Th 3.51, 4 Nd 3.51
Dy 0.2500 0.2500 0.2500  4 Th 3.51, 4 Nd 3.51
Th 0.5000 0.5000 0.5000  4 Sm 3.51, 4 Dy 3.51

Values from the calculation:
Magnetization: 0.0 μB per cell
Space group: No. 216

***

Stability, lowest: b

***

a.
VASP calculation (PBE) on NdSmDyTl after structural relaxation.

Lattice parameters (Å, degrees): 5.5670 5.5670 5.5670 60.00 60.00 60.00
With the nearest neighbours (Å) after each atom.
Fractional coordinates of all 4 atoms:
Nd 0.0000 0.0000 0.0000  4 Tl 3.41, 4 Dy 3.41
Sm 0.5000 0.5000 0.5000  4 Dy 3.41, 4 Tl 3.41
Dy 0.7500 0.7500 0.7500  4 Sm 3.41, 4 Nd 3.41
Tl 0.2500 0.2500 0.2500  4 Sm 3.41, 4 Nd 3.41

Values from the calculation:
Magnetization: 1.3 μB per cell
Space group: No. 216

***

b.
VASP calculation (PBE) on NdSmDyTl after structural relaxation.

Lattice parameters (Å, degrees): 4.8828 4.9122 4.9950 90.00 90.00 90.00
With the nearest neighbours (Å) after each atom.
Fractional coordinates of all 4 atoms:
Nd 0.0000 0.0000 0.0000  4 Sm 3.46, 4 Dy 3.49, 4 Tl 3.50
Sm 0.5000 0.5000 0.0000  4 Nd 3.46, 4 Tl 3.49, 4 Dy 3.50
Dy 0.5000 0.0000 0.5000  4 Tl 3.46, 4 Nd 3.49, 4 Sm 3.50
Tl 0.0000 0.5000 0.5000  4 Dy 3.46, 4 Sm 3.49, 4 Nd 3.50

Values from the calculation:
Magnetization: 0.0 μB per cell
Space group: No. 47

***

Stability, lowest: a

***

a.
VASP calculation (PBE) on NdDy2Sn after structural relaxation.

Lattice parameters (Å, degrees): 4.8702 4.8702 4.8362 90.00 90.00 90.00
With the nearest neighbours (Å) after each atom.
Fractional coordinates of all 4 atoms:
Nd 0.0000 0.0000 0.0000  8 Dy 3.43, 4 Sn 3.44
Dy 0.0000 0.5000 0.5000  4 Sn 3.43, 4 Nd 3.43, 4 Dy 3.44
Dy 0.5000 0.0000 0.5000  4 Sn 3.43, 4 Nd 3.43, 4 Dy 3.44
Sn 0.5000 0.5000 0.0000  8 Dy 3.43, 4 Nd 3.44

Values from the calculation:
Magnetization: 0.0 μB per cell
Space group: No. 123

***

b.
VASP calculation (PBE) on NdDy2Sn after structural relaxation.

Lattice parameters (Å, degrees): 3.7908 3.7908 8.4378 90.00 90.00 90.00
With the nearest neighbours (Å) after each atom.
Fractional coordinates of all 4 atoms:
Nd 0.0000 0.0000 0.0000  8 Dy 3.60, 4 Nd 3.79
Dy 0.5000 0.5000 0.2847  4 Sn 3.24, 4 Nd 3.60
Dy 0.5000 0.5000 0.7153  4 Sn 3.24, 4 Nd 3.60
Sn 0.0000 0.0000 0.5000  8 Dy 3.24

Values from the calculation:
Magnetization: 0.0 μB per cell
Space group: No. 123

***

Stability, lowest: b